(1)
## NaSrTlF6 (PBE-GGA)

Data for crystalline NaSrTlF6 at its relaxed geometry.

Calculated values
Raw formation energy   -2756 meV/atom
Fermi-level density of states   0.000 states/eV per cell
VASP energy   -0.33811 Ry per atom

abc: 5.859 5.859 10.429
angles: 90.00 90.00 120.00
Positions (direct):
Na (0.333, 0.667, 0.250)
Na (0.667, 0.333, 0.750)
Sr (0.000, 0.000, 0.000)
Sr (0.000, 0.000, 0.500)
Tl (0.333, 0.667, 0.750)
Tl (0.667, 0.333, 0.250)
F (0.017, 0.353, 0.635)
F (0.017, 0.664, 0.865)
F (0.336, 0.353, 0.865)
F (0.336, 0.983, 0.635)
F (0.353, 0.017, 0.135)
F (0.353, 0.336, 0.365)
F (0.647, 0.664, 0.635)
F (0.647, 0.983, 0.865)
F (0.664, 0.017, 0.365)
F (0.664, 0.647, 0.135)
F (0.983, 0.336, 0.135)
F (0.983, 0.647, 0.365)

(2)
## SiAu (PBE-GGA)

Data for crystalline SiAu at its relaxed geometry.

Calculated values
Raw formation energy   133 meV/atom
Fermi-level density of states   6.866 states/eV per cell
VASP energy   -0.30993 Ry per atom

abc: 4.164 4.164 15.157
angles: 90.00 90.00 120.00
Positions (direct):
Si (0.000, 0.000, 0.105)
Si (0.000, 0.000, 0.895)
Si (0.333, 0.667, 0.561)
Si (0.333, 0.667, 0.772)
Si (0.667, 0.333, 0.228)
Si (0.667, 0.333, 0.439)
Au (0.000, 0.000, 0.276)
Au (0.000, 0.000, 0.724)
Au (0.333, 0.667, 0.391)
Au (0.333, 0.667, 0.942)
Au (0.667, 0.333, 0.058)
Au (0.667, 0.333, 0.609)

(3)
## Sn2Pd5Au (PBE-GGA)

Data for crystalline Sn2Pd5Au at its relaxed geometry.

Calculated values
Energy above the most stable polymorph in this dataset   2.341 eV/f.u.
Fermi-level density of states   10.282 states/eV per cell
VASP energy   -0.35349 Ry per atom

abc: 9.043 9.043 11.301
angles: 90.00 90.00 161.15
Positions (direct):
Sn (0.127, 0.873, 0.504)
Sn (0.127, 0.873, 0.996)
Sn (0.873, 0.127, 0.004)
Sn (0.873, 0.127, 0.496)
Pd (0.002, 0.998, 0.128)
Pd (0.002, 0.998, 0.372)
Pd (0.132, 0.868, 0.750)
Pd (0.265, 0.735, 0.113)
Pd (0.265, 0.735, 0.387)
Pd (0.735, 0.265, 0.613)
Pd (0.735, 0.265, 0.887)
Pd (0.868, 0.132, 0.250)
Pd (0.998, 0.002, 0.628)
Pd (0.998, 0.002, 0.872)
Au (0.136, 0.864, 0.250)
Au (0.864, 0.136, 0.750)